# 1
DFT (PBE) results for a relaxed TiAlIr3 crystal.

Output
Excess energy over the best structure of this formula in the dataset, eV/atom: 0.408
Space group: Pm-3m, No. 221

```
TiAlIr3
1.0
4.558 0.000 0.000
0.000 4.558 0.000
0.000 0.000 4.558
Ti Al Ir
1 1 3
Direct
0.000 0.000 0.000
0.500 0.500 0.500
0.000 0.000 0.500
0.000 0.500 0.000
0.500 0.000 0.000
```

# 2
DFT (PBE) results for a relaxed Ti12Al6Ir crystal.

Output
Raw total energy, eV per atom: -6.93
Space group: R-3, No. 148

```
Ti12Al6Ir
1.0
4.793 2.767 3.946
-4.793 2.767 3.946
0.000 -5.535 3.946
Ti Al Ir
12 6 1
Direct
0.022 0.940 0.302
0.060 0.698 0.978
0.122 0.449 0.351
0.302 0.022 0.940
0.351 0.122 0.449
0.449 0.351 0.122
0.551 0.649 0.878
0.649 0.878 0.551
0.698 0.978 0.060
0.878 0.551 0.649
0.940 0.302 0.022
0.978 0.060 0.698
0.236 0.385 0.758
0.242 0.764 0.615
0.385 0.758 0.236
0.615 0.242 0.764
0.758 0.236 0.385
0.764 0.615 0.242
0.500 0.500 0.500
```

# 3
DFT (PBE) results for a relaxed Ti2Al4Ir crystal.

Output
Raw total energy, eV per atom: -5.46
Space group: I4/mmm, No. 139

```
Ti2Al4Ir
1.0
4.682 0.000 0.000
0.000 4.682 0.000
0.000 0.000 13.092
Ti Al Ir
4 8 2
Direct
0.000 0.000 0.108
0.000 0.000 0.892
0.500 0.500 0.392
0.500 0.500 0.608
0.000 0.000 0.310
0.000 0.000 0.690
0.000 0.500 0.000
0.000 0.500 0.500
0.500 0.000 0.000
0.500 0.000 0.500
0.500 0.500 0.190
0.500 0.500 0.810
0.000 0.000 0.500
0.500 0.500 0.000
```

| no. | theoretical density (g/cm³) |
| --- | --- |
| 1 | 11.43 |
| 2 | 4.91 |
| 3 | 4.58 |